VASP calculation (GGA-PBEsol) on an optimized crystal structure of MgAsOs2.

Geometry as CIF:
```
data_MgAsOs2
_space_group_name_H-M_alt 'C m m m'
_space_group_IT_number 65
_space_group_name_Hall '-C 2 2'
_cell_length_a 2.9777
_cell_length_b 4.9020
_cell_length_c 8.4273
_cell_angle_alpha 90.00
_cell_angle_beta 90.00
_cell_angle_gamma 90.00
loop_
_atom_site_label
_atom_site_type_symbol
_atom_site_fract_x
_atom_site_fract_y
_atom_site_fract_z
Mg1 Mg 0.0000 0.0000 0.0000
As1 As 0.0000 0.0000 0.5000
Os1 Os 0.0000 0.5000 0.2699
```

DFT total energy: -7.28 eV per atom
Density: 12951 kg/m3
Relative energy among the computed polymorphs: 230.1 meV/atom
Volume: 123.0 Å³ per cell
Formation energy: 537 meV/atom
N(E_F): 0.955 states/eV/atom